No. 1
Below is an optimized crystal structure of Y2PbIO, with properties calculated at the PBE level.

## Properties
VASP energy	-3.991	eV/atom
total moment	0.00	μB/f.u.
SG	No. 123
E_form (uncorrected)	62	kJ per mole of atoms
calculated volume	40.31	Å³ per atom

Cell: 5.878 5.878 5.833 Å, 90.00 90.00 90.00°
Fractional positions:
Y  0.000  0.500  0.000
Y  0.500  0.000  0.000
Pb  0.000  0.000  0.000
I  0.000  0.000  0.500
O  0.500  0.500  0.500

---

No. 2
Below is an optimized crystal structure of YPbIO2, with properties calculated at the PBE level.

## Properties
VASP energy	-4.711	eV/atom
energy relative to the lowest polymorph listed for this composition	921	meV/atom
total moment	0.00	μB/f.u.
SG	No. 123
E_form (uncorrected)	-37	kJ per mole of atoms
calculated volume	23.39	Å³ per atom

Cell: 4.499 4.499 5.778 Å, 90.00 90.00 90.00°
Fractional positions:
Y  0.000  0.000  0.000
Pb  0.500  0.500  0.500
I  0.500  0.500  0.000
O  0.000  0.500  0.500
O  0.500  0.000  0.500

---

No. 3
Below is an optimized crystal structure of YPbIO2, with properties calculated at the PBE level.

## Properties
VASP energy	-5.632	eV/atom
energy relative to the lowest polymorph listed for this composition	0	meV/atom
total moment	0.16	μB/f.u.
SG	No. 123
E_form (uncorrected)	-126	kJ per mole of atoms
calculated volume	24.31	Å³ per atom

Cell: 4.505 4.505 5.989 Å, 90.00 90.00 90.00°
Fractional positions:
Y  0.000  0.000  0.000
Pb  0.500  0.500  0.500
I  0.000  0.000  0.500
O  0.000  0.500  0.000
O  0.500  0.000  0.000